# Er2AgRh PBE optimized geometry
data_Er2AgRh
_chemical_formula_sum 'Er2 Ag1 Rh1'
_space_group_name_H-M_alt 'P 1'
_space_group_IT_number 1
_space_group_name_Hall 'P 1'
_cell_length_a 3.4718
_cell_length_b 3.4718
_cell_length_c 7.1472
_cell_angle_alpha 90.00
_cell_angle_beta 90.00
_cell_angle_gamma 90.00
loop_
_atom_site_label
_atom_site_fract_x
_atom_site_fract_y
_atom_site_fract_z
_atom_site_occupancy
Er1 0.0000 0.0000 0.2287 1
Er2 0.0000 0.0000 0.7713 1
Ag1 0.5000 0.5000 0.5000 1
Rh1 0.5000 0.5000 0.0000 1
# DFT total energy ... -21.837 eV/f.u.
# Space-group type ... No. 123
# Formation enthalpy at 0 K ... -0.6271 eV per atom
# Total moment ... 0.000 μB/atom